LiHgF3 | PBE | optimized geometry

Computed properties:
N(E_F)	0.08	states/eV/cell
formation energy without anion corrections	-1864	meV/atom

abc: 3.8069 3.8069 3.8069
angles: 90.00 90.00 90.00
Positions (direct):
Li: 0.0000 0.0000 0.0000
Hg: 0.5000 0.5000 0.5000
F: 0.0000 0.0000 0.5000
F: 0.0000 0.5000 0.0000
F: 0.5000 0.0000 0.0000



LiHgF3 | PBE | optimized geometry

Computed properties:
N(E_F)	0.00	states/eV/cell
formation energy without anion corrections	-1990	meV/atom

abc: 5.8809 5.8809 5.8809
angles: 56.89 56.89 56.89
Positions (direct):
Li: 0.1509 0.1509 0.1509
Li: 0.8491 0.8491 0.8491
Hg: 0.3674 0.3674 0.3674
Hg: 0.6326 0.6326 0.6326
F: 0.0349 0.4413 0.7900
F: 0.2100 0.9651 0.5587
F: 0.4413 0.7900 0.0349
F: 0.5587 0.2100 0.9651
F: 0.7900 0.0349 0.4413
F: 0.9651 0.5587 0.2100



LiHgF2 | PBE | optimized geometry

Computed properties:
N(E_F)	0.88	states/eV/cell
formation energy without anion corrections	-1872	meV/atom

abc: 6.9622 6.9622 6.9622
angles: 25.59 25.59 25.59
Positions (direct):
Li: 0.0000 0.0000 0.0000
Hg: 0.5000 0.5000 0.5000
F: 0.3863 0.3863 0.3863
F: 0.6137 0.6137 0.6137



Li12Hg3F5 | PBE | optimized geometry

Computed properties:
N(E_F)	19.46	states/eV/cell
formation energy without anion corrections	-1392	meV/atom

abc: 11.7870 11.7870 11.7870
angles: 109.47 109.47 109.47
Positions (direct):
Li: 0.0034 0.1902 0.1049
Li: 0.0034 0.3132 0.8985
Li: 0.0853 0.6902 0.6868
Li: 0.0853 0.8951 0.3985
Li: 0.1015 0.6049 0.4147
Li: 0.1015 0.9966 0.6868
Li: 0.1049 0.0034 0.1902
Li: 0.1049 0.6015 0.9147
Li: 0.1868 0.1902 0.5853
Li: 0.1868 0.4966 0.6015
Li: 0.1902 0.1049 0.0034
Li: 0.1902 0.5853 0.1868
Li: 0.3098 0.3132 0.9147
Li: 0.3098 0.4966 0.3951
Li: 0.3132 0.8985 0.0034
Li: 0.3132 0.9147 0.3098
Li: 0.3951 0.3098 0.4966
Li: 0.3951 0.5853 0.8985
Li: 0.3985 0.0853 0.8951
Li: 0.3985 0.8132 0.5034
Li: 0.4147 0.1015 0.6049
Li: 0.4147 0.8132 0.8098
Li: 0.4966 0.3951 0.3098
Li: 0.4966 0.6015 0.1868
Li: 0.5034 0.3985 0.8132
Li: 0.5034 0.6049 0.6902
Li: 0.5853 0.1868 0.1902
Li: 0.5853 0.8985 0.3951
Li: 0.6015 0.1868 0.4966
Li: 0.6015 0.9147 0.1049
Li: 0.6049 0.4147 0.1015
Li: 0.6049 0.6902 0.5034
Li: 0.6868 0.0853 0.6902
Li: 0.6868 0.1015 0.9966
Li: 0.6902 0.5034 0.6049
Li: 0.6902 0.6868 0.0853
Li: 0.8098 0.4147 0.8132
Li: 0.8098 0.8951 0.9966
Li: 0.8132 0.5034 0.3985
Li: 0.8132 0.8098 0.4147
Li: 0.8951 0.3985 0.0853
Li: 0.8951 0.9966 0.8098
Li: 0.8985 0.0034 0.3132
Li: 0.8985 0.3951 0.5853
Li: 0.9147 0.1049 0.6015
Li: 0.9147 0.3098 0.3132
Li: 0.9966 0.6868 0.1015
Li: 0.9966 0.8098 0.8951
Hg: 0.1250 0.2500 0.3750
Hg: 0.1250 0.3750 0.7500
Hg: 0.2500 0.3750 0.1250
Hg: 0.2500 0.8750 0.6250
Hg: 0.3750 0.1250 0.2500
Hg: 0.3750 0.7500 0.1250
Hg: 0.6250 0.2500 0.8750
Hg: 0.6250 0.8750 0.7500
Hg: 0.7500 0.1250 0.3750
Hg: 0.7500 0.6250 0.8750
Hg: 0.8750 0.6250 0.2500
Hg: 0.8750 0.7500 0.6250
F: 0.0000 0.0000 0.0000
F: 0.0000 0.0000 0.5000
F: 0.0000 0.5000 0.0000
F: 0.0000 0.5000 0.5000
F: 0.1250 0.7500 0.8750
F: 0.1250 0.8750 0.2500
F: 0.2500 0.1250 0.8750
F: 0.2500 0.6250 0.3750
F: 0.3750 0.2500 0.6250
F: 0.3750 0.6250 0.7500
F: 0.5000 0.0000 0.0000
F: 0.5000 0.0000 0.5000
F: 0.5000 0.5000 0.0000
F: 0.5000 0.5000 0.5000
F: 0.6250 0.3750 0.2500
F: 0.6250 0.7500 0.3750
F: 0.7500 0.3750 0.6250
F: 0.7500 0.8750 0.1250
F: 0.8750 0.1250 0.7500
F: 0.8750 0.2500 0.1250



Li2HgF6 | PBE | optimized geometry

Computed properties:
formation energy without anion corrections	-1783	meV/atom

abc: 4.6978 5.5149 8.9366
angles: 90.00 90.00 90.00
Positions (direct):
Li: 0.0000 0.0000 0.1836
Li: 0.0000 0.0000 0.8164
Li: 0.5000 0.5000 0.3164
Li: 0.5000 0.5000 0.6836
Hg: 0.0000 0.5000 0.0000
Hg: 0.5000 0.0000 0.5000
F: 0.2105 0.1625 0.0000
F: 0.2392 0.6760 0.1722
F: 0.2392 0.6760 0.8278
F: 0.2608 0.1760 0.3278
F: 0.2608 0.1760 0.6722
F: 0.2895 0.6625 0.5000
F: 0.7105 0.3375 0.5000
F: 0.7392 0.8240 0.3278
F: 0.7392 0.8240 0.6722
F: 0.7608 0.3240 0.1722
F: 0.7608 0.3240 0.8278
F: 0.7895 0.8375 0.0000



LiHgF2 | PBE | optimized geometry

Computed properties:
N(E_F)	0.20	states/eV/cell
formation energy without anion corrections	-1882	meV/atom

abc: 5.7227 5.7227 5.7227
angles: 124.70 124.70 82.03
Positions (direct):
Li: 0.0000 0.0000 0.0000
Li: 0.7500 0.2500 0.5000
Hg: 0.2500 0.7500 0.5000
Hg: 0.5000 0.5000 0.0000
F: 0.0283 0.6250 0.9033
F: 0.3750 0.2783 0.4033
F: 0.7217 0.1250 0.0967
F: 0.8750 0.9717 0.5967



LiHgF3 | PBE | optimized geometry

Computed properties:
N(E_F)	0.00	states/eV/cell
formation energy without anion corrections	-1991	meV/atom

abc: 3.3607 6.3863 6.3872
angles: 73.08 88.82 88.84
Positions (direct):
Li: 0.0009 0.3151 0.1848
Li: 0.9991 0.6849 0.8152
Hg: 0.2670 0.7771 0.2770
Hg: 0.7330 0.2229 0.7230
F: 0.2194 0.3892 0.8886
F: 0.2439 0.3183 0.4474
F: 0.2441 0.9470 0.8189
F: 0.7559 0.0530 0.1811
F: 0.7561 0.6817 0.5526
F: 0.7806 0.6108 0.1114



LiHg2F5 | PBE | optimized geometry

Computed properties:
N(E_F)	0.00	states/eV/cell
formation energy without anion corrections	-1755	meV/atom

abc: 6.4062 6.4062 8.7716
angles: 114.62 114.62 81.74
Positions (direct):
Li: 0.1245 0.8755 0.7500
Li: 0.8755 0.1245 0.2500
Hg: 0.0000 0.5000 0.0000
Hg: 0.5000 0.0000 0.5000
Hg: 0.5000 0.5000 0.0000
Hg: 0.5000 0.5000 0.5000
F: 0.1840 0.2061 0.8876
F: 0.2041 0.6833 0.8888
F: 0.2061 0.1840 0.3876
F: 0.3167 0.7959 0.6112
F: 0.3753 0.6247 0.2500
F: 0.6247 0.3753 0.7500
F: 0.6833 0.2041 0.3888
F: 0.7939 0.8160 0.6124
F: 0.7959 0.3167 0.1112
F: 0.8160 0.7939 0.1124



Electronic total energy in eV/atom, matching the order above: -3.430, -3.556, -3.362, -3.054, -3.489, -3.372, -3.557, -3.239